1.
# SnAu2Br6 (PBE, optimized geometry)
# Total energy = -90.7 eV per cell
# Formation energy from raw total energies = -2.078 eV/f.u.
data_SnAu2Br6
_chemical_formula_sum 'Sn4 Au8 Br24'
_symmetry_space_group_name_H-M 'C 1 2/c 1'
_symmetry_Int_Tables_number 15
_cell_length_a 13.5396
_cell_length_b 12.6814
_cell_length_c 8.0984
_cell_angle_alpha 90.00
_cell_angle_beta 104.74
_cell_angle_gamma 90.00
loop_
_symmetry_equiv_pos_as_xyz
'x,y,z'
'-x,-y,-z'
'-x,y,-z+1/2'
'x,-y,z+1/2'
'x+1/2,y+1/2,z'
'-x+1/2,-y+1/2,-z'
'-x+1/2,y+1/2,-z+1/2'
'x+1/2,-y+1/2,z+1/2'
loop_
_atom_site_label
_atom_site_type_symbol
_atom_site_fract_x
_atom_site_fract_y
_atom_site_fract_z
Sn1 Sn 0.0000 0.0987 0.2500
Au1 Au 0.2211 0.4529 0.2159
Br1 Br 0.1026 0.0991 0.6205
Br2 Br 0.1075 0.4896 0.4451
Br3 Br 0.1389 0.2222 0.1853

***

2.
# Th2ScTl3Te6 (PBE, optimized geometry)
# Total energy = -114.7 eV per cell
# Formation energy from raw total energies = -10.223 eV/f.u.
data_Th2ScTl3Te6
_chemical_formula_sum 'Th4 Sc2 Tl6 Te12'
_symmetry_space_group_name_H-M 'C 1 2/m 1'
_symmetry_Int_Tables_number 12
_cell_length_a 7.5507
_cell_length_b 13.0498
_cell_length_c 8.8176
_cell_angle_alpha 90.00
_cell_angle_beta 106.57
_cell_angle_gamma 90.00
loop_
_symmetry_equiv_pos_as_xyz
'x,y,z'
'-x,-y,-z'
'-x,y,-z'
'x,-y,z'
'x+1/2,y+1/2,z'
'-x+1/2,-y+1/2,-z'
'-x+1/2,y+1/2,-z'
'x+1/2,-y+1/2,z'
loop_
_atom_site_label
_atom_site_type_symbol
_atom_site_fract_x
_atom_site_fract_y
_atom_site_fract_z
Th1 Th 0.0000 0.1647 0.0000
Sc1 Sc 0.0000 0.5000 0.0000
Tl1 Tl 0.0000 0.0000 0.5000
Tl2 Tl 0.0000 0.3272 0.5000
Te1 Te 0.2297 0.3410 0.2154
Te2 Te 0.2423 0.5000 0.7785

***

3.
# KRb2TiBr6 (PBE, optimized geometry)
# Total energy = -144.0 eV per cell
# Formation energy from raw total energies = -15.038 eV/f.u.
# E above lowest polymorph = 10 meV per atom
data_KRb2TiBr6
_chemical_formula_sum 'K4 Rb8 Ti4 Br24'
_symmetry_space_group_name_H-M 'F m -3 m'
_symmetry_Int_Tables_number 225
_symmetry_space_group_name_Hall '-F 4 2 3'
_cell_length_a 11.4367
_cell_length_b 11.4367
_cell_length_c 11.4367
_cell_angle_alpha 90.00
_cell_angle_beta 90.00
_cell_angle_gamma 90.00
loop_
_atom_site_label
_atom_site_type_symbol
_atom_site_fract_x
_atom_site_fract_y
_atom_site_fract_z
K1 K 0.0000 0.0000 0.0000
Rb1 Rb 0.2500 0.2500 0.2500
Ti1 Ti 0.0000 0.0000 0.5000
Br1 Br 0.0000 0.0000 0.2734

***

4.
# P2IrSe (PBE, optimized geometry)
# Total energy = -43.5 eV per cell
# Formation energy from raw total energies = 1.406 eV/f.u.
data_P2IrSe
_chemical_formula_sum 'P4 Ir2 Se2'
_symmetry_space_group_name_H-M 'I m m m'
_symmetry_Int_Tables_number 71
_symmetry_space_group_name_Hall '-I 2 2'
_cell_length_a 2.8600
_cell_length_b 4.6569
_cell_length_c 10.2575
_cell_angle_alpha 90.00
_cell_angle_beta 90.00
_cell_angle_gamma 90.00
loop_
_atom_site_label
_atom_site_type_symbol
_atom_site_fract_x
_atom_site_fract_y
_atom_site_fract_z
P1 P 0.0000 0.0000 0.1947
Ir1 Ir 0.0000 0.5000 0.5000
Se1 Se 0.0000 0.5000 0.0000

***

5.
# CaTbCeLu (PBE, optimized geometry)
# Total energy = -64.5 eV per cell
# Formation enthalpy at 0 K = 0.24 eV/atom
data_CaTbCeLu
_chemical_formula_sum 'Ca4 Tb4 Ce4 Lu4'
_symmetry_space_group_name_H-M 'F -4 3 m'
_symmetry_Int_Tables_number 216
_symmetry_space_group_name_Hall 'F -4 2 3'
_cell_length_a 8.0953
_cell_length_b 8.0953
_cell_length_c 8.0953
_cell_angle_alpha 90.00
_cell_angle_beta 90.00
_cell_angle_gamma 90.00
loop_
_atom_site_label
_atom_site_type_symbol
_atom_site_fract_x
_atom_site_fract_y
_atom_site_fract_z
Ca1 Ca 0.0000 0.0000 0.0000
Tb1 Tb 0.2500 0.2500 0.7500
Ce1 Ce 0.0000 0.0000 0.5000
Lu1 Lu 0.2500 0.2500 0.2500

***

6.
# Pr6Zn2Ge (PBE, optimized geometry)
# Total energy = -152.3 eV per cell
# Formation enthalpy at 0 K = -0.25 eV/atom
data_Pr6Zn2Ge
_chemical_formula_sum 'Pr24 Zn8 Ge4'
_symmetry_space_group_name_H-M 'I m m m'
_symmetry_Int_Tables_number 71
_symmetry_space_group_name_Hall '-I 2 2'
_cell_length_a 9.8951
_cell_length_b 10.3252
_cell_length_c 10.3826
_cell_angle_alpha 90.00
_cell_angle_beta 90.00
_cell_angle_gamma 90.00
loop_
_atom_site_label
_atom_site_type_symbol
_atom_site_fract_x
_atom_site_fract_y
_atom_site_fract_z
Pr1 Pr 0.0000 0.1748 0.2376
Pr2 Pr 0.1740 0.5000 0.2778
Pr3 Pr 0.2479 0.3040 0.0000
Zn1 Zn 0.0000 0.3711 0.5000
Zn2 Zn 0.1282 0.0000 0.0000
Ge1 Ge 0.0000 0.0000 0.5000
Ge2 Ge 0.0000 0.5000 0.0000

***

7.
# SrGa2Ge (PBE, optimized geometry)
# Total energy = -40.5 eV per cell
# Formation enthalpy at 0 K = -0.29 eV/atom
data_SrGa2Ge
_chemical_formula_sum 'Sr3 Ga6 Ge3'
_symmetry_space_group_name_H-M 'R -3 m'
_symmetry_Int_Tables_number 166
_symmetry_space_group_name_Hall '-R 3 2"'
_cell_length_a 4.3895
_cell_length_b 4.3895
_cell_length_c 17.7199
_cell_angle_alpha 90.00
_cell_angle_beta 90.00
_cell_angle_gamma 120.00
loop_
_atom_site_label
_atom_site_type_symbol
_atom_site_fract_x
_atom_site_fract_y
_atom_site_fract_z
Sr1 Sr 0.0000 0.0000 0.0000
Ga1 Ga 0.0000 0.0000 0.2210
Ge1 Ge 0.0000 0.0000 0.5000

***

8.
# Ho2RhS (PBE, optimized geometry)
# Total energy = -105.1 eV per cell
# Formation energy from raw total energies = -5.648 eV/f.u.
# E above lowest polymorph = 0 meV per atom
data_Ho2RhS
_chemical_formula_sum 'Ho8 Rh4 S4'
_symmetry_space_group_name_H-M 'C m c m'
_symmetry_Int_Tables_number 63
_symmetry_space_group_name_Hall '-C 2c 2'
_cell_length_a 3.8381
_cell_length_b 22.0853
_cell_length_c 4.0128
_cell_angle_alpha 90.00
_cell_angle_beta 90.00
_cell_angle_gamma 90.00
loop_
_atom_site_label
_atom_site_type_symbol
_atom_site_fract_x
_atom_site_fract_y
_atom_site_fract_z
Ho1 Ho 0.0000 0.0665 0.2500
Ho2 Ho 0.0000 0.3202 0.2500
Rh1 Rh 0.0000 0.4546 0.2500
S1 S 0.0000 0.1935 0.2500

***

9.
# TiNbHg (PBE, optimized geometry)
# Total energy = -17.8 eV per cell
# E above lowest polymorph = 206 meV per atom
# Formation enthalpy at 0 K = 0.16 eV/atom
data_TiNbHg
_chemical_formula_sum 'Ti1 Nb1 Hg1'
_symmetry_space_group_name_H-M 'P 3 m 1'
_symmetry_Int_Tables_number 156
_cell_length_a 3.0994
_cell_length_b 3.0994
_cell_length_c 7.0025
_cell_angle_alpha 90.00
_cell_angle_beta 90.00
_cell_angle_gamma 120.00
loop_
_symmetry_equiv_pos_as_xyz
'x,y,z'
'-y,x-y,z'
'-x+y,-x,z'
'-y,-x,z'
'-x+y,y,z'
'x,x-y,z'
loop_
_atom_site_label
_atom_site_type_symbol
_atom_site_fract_x
_atom_site_fract_y
_atom_site_fract_z
Ti1 Ti 0.0000 0.0000 0.0000
Nb1 Nb 0.6667 0.3333 0.3073
Hg1 Hg 0.3333 0.6667 0.6604

***

10.
# KTlTc2 (PBE, optimized geometry)
# Total energy = -18.8 eV per cell
# E above lowest polymorph = 865 meV per atom
# Formation enthalpy at 0 K = 1.35 eV/atom
data_KTlTc2
_chemical_formula_sum 'K1 Tl1 Tc2'
_symmetry_space_group_name_H-M 'P m m m'
_symmetry_Int_Tables_number 47
_cell_length_a 2.8708
_cell_length_b 5.1741
_cell_length_c 5.4052
_cell_angle_alpha 90.00
_cell_angle_beta 90.00
_cell_angle_gamma 90.00
loop_
_symmetry_equiv_pos_as_xyz
'x,y,z'
'-x,-y,-z'
'-x,-y,z'
'x,y,-z'
'x,-y,-z'
'-x,y,z'
'-x,y,-z'
'x,-y,z'
loop_
_atom_site_label
_atom_site_type_symbol
_atom_site_fract_x
_atom_site_fract_y
_atom_site_fract_z
K1 K 0.0000 0.0000 0.0000
Tl1 Tl 0.5000 0.5000 0.0000
Tc1 Tc 0.0000 0.5000 0.5000
Tc2 Tc 0.5000 0.0000 0.5000

***

11.
# Te2IrW2 (PBE, optimized geometry)
# Total energy = -71.3 eV per cell
# Formation energy from raw total energies = 5.387 eV/f.u.
# E above lowest polymorph = 74 meV per atom
data_Te2IrW2
_chemical_formula_sum 'Te4 Ir2 W4'
_symmetry_space_group_name_H-M 'P 4/m b m'
_symmetry_Int_Tables_number 127
_symmetry_space_group_name_Hall '-P 4 2ab'
_cell_length_a 7.7078
_cell_length_b 7.7078
_cell_length_c 3.1498
_cell_angle_alpha 90.00
_cell_angle_beta 90.00
_cell_angle_gamma 90.00
loop_
_atom_site_label
_atom_site_type_symbol
_atom_site_fract_x
_atom_site_fract_y
_atom_site_fract_z
Te1 Te 0.1521 0.3479 0.0000
Ir1 Ir 0.0000 0.0000 0.0000
W1 W 0.1493 0.6493 0.5000

***

12.
# In3HgMo (PBE, optimized geometry)
# Total energy = -16.8 eV per cell
# E above lowest polymorph = 0 meV per atom
# Formation enthalpy at 0 K = 0.51 eV/atom
data_In3HgMo
_chemical_formula_sum 'In3 Hg1 Mo1'
_symmetry_space_group_name_H-M 'P m -3 m'
_symmetry_Int_Tables_number 221
_symmetry_space_group_name_Hall '-P 4 2 3'
_cell_length_a 5.3586
_cell_length_b 5.3586
_cell_length_c 5.3586
_cell_angle_alpha 90.00
_cell_angle_beta 90.00
_cell_angle_gamma 90.00
loop_
_atom_site_label
_atom_site_type_symbol
_atom_site_fract_x
_atom_site_fract_y
_atom_site_fract_z
In1 In 0.0000 0.0000 0.5000
Hg1 Hg 0.5000 0.5000 0.5000
Mo1 Mo 0.0000 0.0000 0.0000

***

13.
# La7Ir5 (PBE, optimized geometry)
# Total energy = -174.1 eV per cell
# Formation enthalpy at 0 K = -0.69 eV/atom
data_La7Ir5
_chemical_formula_sum 'La14 Ir10'
_symmetry_space_group_name_H-M 'C 1 2/m 1'
_symmetry_Int_Tables_number 12
_cell_length_a 13.7575
_cell_length_b 4.1037
_cell_length_c 12.4164
_cell_angle_alpha 90.00
_cell_angle_beta 105.51
_cell_angle_gamma 90.00
loop_
_symmetry_equiv_pos_as_xyz
'x,y,z'
'-x,-y,-z'
'-x,y,-z'
'x,-y,z'
'x+1/2,y+1/2,z'
'-x+1/2,-y+1/2,-z'
'-x+1/2,y+1/2,-z'
'x+1/2,-y+1/2,z'
loop_
_atom_site_label
_atom_site_type_symbol
_atom_site_fract_x
_atom_site_fract_y
_atom_site_fract_z
La1 La 0.0000 0.0000 0.0000
La2 La 0.0427 0.5000 0.2854
La3 La 0.1551 0.0000 0.5492
La4 La 0.2381 0.0000 0.8594
Ir1 Ir 0.0000 0.5000 0.5000
Ir2 Ir 0.1147 0.5000 0.9236
Ir3 Ir 0.1969 0.0000 0.3117

***

14.
# Y2IrPdC (PBE, optimized geometry)
# Total energy = -39.6 eV per cell
# Formation enthalpy at 0 K = -0.67 eV/atom
data_Y2IrPdC
_chemical_formula_sum 'Y2 Ir1 Pd1 C1'
_symmetry_space_group_name_H-M 'P 4/m m m'
_symmetry_Int_Tables_number 123
_symmetry_space_group_name_Hall '-P 4 2'
_cell_length_a 5.0063
_cell_length_b 5.0063
_cell_length_c 3.8328
_cell_angle_alpha 90.00
_cell_angle_beta 90.00
_cell_angle_gamma 90.00
loop_
_atom_site_label
_atom_site_type_symbol
_atom_site_fract_x
_atom_site_fract_y
_atom_site_fract_z
Y1 Y 0.0000 0.5000 0.0000
Ir1 Ir 0.0000 0.0000 0.5000
Pd1 Pd 0.5000 0.5000 0.5000
C1 C 0.0000 0.0000 0.0000

***

15.
# BaPm3Pd (PBE, optimized geometry)
# Total energy = -22.0 eV per cell
# Formation enthalpy at 0 K = -0.12 eV/atom
data_BaPm3Pd
_chemical_formula_sum 'Ba1 Pm3 Pd1'
_symmetry_space_group_name_H-M 'P m -3 m'
_symmetry_Int_Tables_number 221
_symmetry_space_group_name_Hall '-P 4 2 3'
_cell_length_a 5.7636
_cell_length_b 5.7636
_cell_length_c 5.7636
_cell_angle_alpha 90.00
_cell_angle_beta 90.00
_cell_angle_gamma 90.00
loop_
_atom_site_label
_atom_site_type_symbol
_atom_site_fract_x
_atom_site_fract_y
_atom_site_fract_z
Ba1 Ba 0.0000 0.0000 0.0000
Pm1 Pm 0.0000 0.5000 0.5000
Pd1 Pd 0.5000 0.5000 0.5000

***

16.
# CaHfSc2B (PBE, optimized geometry)
# Total energy = -29.3 eV per cell
# Formation enthalpy at 0 K = 0.40 eV/atom
data_CaHfSc2B
_chemical_formula_sum 'Ca1 Hf1 Sc2 B1'
_symmetry_space_group_name_H-M 'P 4/m m m'
_symmetry_Int_Tables_number 123
_symmetry_space_group_name_Hall '-P 4 2'
_cell_length_a 4.7827
_cell_length_b 4.7827
_cell_length_c 5.0560
_cell_angle_alpha 90.00
_cell_angle_beta 90.00
_cell_angle_gamma 90.00
loop_
_atom_site_label
_atom_site_type_symbol
_atom_site_fract_x
_atom_site_fract_y
_atom_site_fract_z
Ca1 Ca 0.0000 0.0000 0.0000
Hf1 Hf 0.5000 0.5000 0.0000
Sc1 Sc 0.0000 0.5000 0.5000
B1 B 0.0000 0.0000 0.5000

***

17.
# KOsRu4 (PBE, optimized geometry)
# Total energy = -170.2 eV per cell
# Formation enthalpy at 0 K = 1.15 eV/atom
data_KOsRu4
_chemical_formula_sum 'K4 Os4 Ru16'
_symmetry_space_group_name_H-M 'F -4 3 m'
_symmetry_Int_Tables_number 216
_symmetry_space_group_name_Hall 'F -4 2 3'
_cell_length_a 7.3305
_cell_length_b 7.3305
_cell_length_c 7.3305
_cell_angle_alpha 90.00
_cell_angle_beta 90.00
_cell_angle_gamma 90.00
loop_
_atom_site_label
_atom_site_type_symbol
_atom_site_fract_x
_atom_site_fract_y
_atom_site_fract_z
K1 K 0.0000 0.0000 0.0000
Os1 Os 0.2500 0.2500 0.7500
Ru1 Ru 0.1245 0.1245 0.3755

***

18.
# Zr3Al (PBE, optimized geometry)
# Total energy = -61.1 eV per cell
# Formation enthalpy at 0 K = -0.28 eV/atom
data_Zr3Al
_chemical_formula_sum 'Zr6 Al2'
_symmetry_space_group_name_H-M 'P 63/m m c'
_symmetry_Int_Tables_number 194
_symmetry_space_group_name_Hall '-P 6c 2c'
_cell_length_a 6.2010
_cell_length_b 6.2010
_cell_length_c 5.0850
_cell_angle_alpha 90.00
_cell_angle_beta 90.00
_cell_angle_gamma 120.00
loop_
_atom_site_label
_atom_site_type_symbol
_atom_site_fract_x
_atom_site_fract_y
_atom_site_fract_z
Zr1 Zr 0.1713 0.3425 0.2500
Al1 Al 0.3333 0.6667 0.7500

***

19.
# HOsCl6 (PBE, optimized geometry)
# Total energy = -28.9 eV per cell
data_HOsCl6
_chemical_formula_sum 'H1 Os1 Cl6'
_symmetry_space_group_name_H-M 'P -1'
_symmetry_Int_Tables_number 2
_cell_length_a 6.2510
_cell_length_b 6.6021
_cell_length_c 7.0718
_cell_angle_alpha 88.21
_cell_angle_beta 64.70
_cell_angle_gamma 62.20
loop_
_symmetry_equiv_pos_as_xyz
'x,y,z'
'-x,-y,-z'
loop_
_atom_site_label
_atom_site_type_symbol
_atom_site_fract_x
_atom_site_fract_y
_atom_site_fract_z
H1 H 0.0000 0.0000 0.0000
Os1 Os 0.5000 0.0000 0.0000
Cl1 Cl 0.1029 0.3333 0.2209
Cl2 Cl 0.2819 0.9486 0.8126
Cl3 Cl 0.3713 0.7827 0.2348

***

20.
# In6SnBi (PBE, optimized geometry)
# Total energy = -48.3 eV per cell
# Formation enthalpy at 0 K = 0.02 eV/atom
data_In6SnBi
_chemical_formula_sum 'In12 Sn2 Bi2'
_symmetry_space_group_name_H-M 'C m m m'
_symmetry_Int_Tables_number 65
_symmetry_space_group_name_Hall '-C 2 2'
_cell_length_a 8.9261
_cell_length_b 10.1822
_cell_length_c 4.9493
_cell_angle_alpha 90.00
_cell_angle_beta 90.00
_cell_angle_gamma 90.00
loop_
_atom_site_label
_atom_site_type_symbol
_atom_site_fract_x
_atom_site_fract_y
_atom_site_fract_z
In1 In 0.0000 0.2490 0.0000
In2 In 0.2420 0.5000 0.0000
In3 In 0.2500 0.2500 0.5000
Sn1 Sn 0.0000 0.5000 0.5000
Bi1 Bi 0.0000 0.0000 0.5000